[1]
CrCuRuBr2: optimized geometry, PBE.

abc: 4.703 4.703 4.772
angles: 90.00 90.00 90.00
Space group P4/mmm (No. 123)
Asymmetric unit:
Cr 0.000 0.000 0.000 x1
Cu 0.000 0.000 0.500 x1
Ru 0.500 0.500 0.000 x1
Br 0.000 0.500 0.500 x2

Raw formation energy (meV/atom): 1729

***

[2]
Al2NiPd2: optimized geometry, PBE.

abc: 3.743 3.743 11.576
angles: 90.00 90.00 90.00
Space group I4/mmm (No. 139)
Asymmetric unit:
Al 0.000 0.500 0.250 x4
Ni 0.000 0.000 0.000 x2
Pd 0.000 0.000 0.389 x4

Calculated formation energy (eV per atom): -0.18

***

[3]
Sc2TiSe: optimized geometry, PBE.

abc: 3.3949 3.3949 27.0914
angles: 90.00 90.00 120.00
Space group R-3m (No. 166, hexagonal axes)
Asymmetric unit:
Sc 0.0000 0.0000 0.1013 x6
Ti 0.0000 0.0000 0.0000 x3
Se 0.0000 0.0000 0.5000 x3

Raw formation energy (meV/atom): -275

***

[4]
Dy12MgSc7: optimized geometry, PBE.

abc: 12.8746 12.8746 11.9948
angles: 90.00 90.00 120.00
Space group R-3 (No. 148, hexagonal axes)
Asymmetric unit:
Dy 0.0005 0.2628 0.0001 x18
Dy 0.0869 0.1754 0.7623 x18
Mg 0.0000 0.0000 0.5000 x3
Sc 0.0000 0.0000 0.0000 x3
Sc 0.0485 0.5242 0.1174 x18

Calculated formation energy (eV per atom): 0.10

***

[5]
MgOsSe2: optimized geometry, PBE.

abc: 3.7722 3.7722 23.3173
angles: 90.00 90.00 120.00
Space group R-3m (No. 166, hexagonal axes)
Asymmetric unit:
Mg 0.0000 0.0000 0.0000 x3
Os 0.0000 0.0000 0.5000 x3
Se 0.0000 0.0000 0.1130 x6

Raw formation energy (meV/atom): 32

***

[6]
Sr3Be: optimized geometry, PBE.

abc: 3.906 3.906 10.386
angles: 90.00 90.00 90.00
Space group P4/mmm (No. 123)
Asymmetric unit:
Sr 0.000 0.000 0.000 x1
Sr 0.500 0.500 0.326 x2
Be 0.000 0.000 0.500 x1

Calculated formation energy (eV per atom): 0.28

***

[7]
ErTiSn2: optimized geometry, PBE.

abc: 3.3334 3.3334 29.0981
angles: 90.00 90.00 120.00
Space group R-3m (No. 166, hexagonal axes)
Asymmetric unit:
Er 0.0000 0.0000 0.0000 x3
Ti 0.0000 0.0000 0.5000 x3
Sn 0.0000 0.0000 0.2431 x6

Calculated formation energy (eV per atom): -0.25

***

[8]
Dy2Er5CdRu2: optimized geometry, PBE.

abc: 11.659 11.659 3.846
angles: 90.00 90.00 90.00
Space group P4/mbm (No. 127)
Asymmetric unit:
Dy 0.185 0.315 0.000 x4
Er 0.000 0.500 0.500 x2
Er 0.062 0.786 0.500 x8
Cd 0.000 0.000 0.000 x2
Ru 0.129 0.629 0.000 x4

Calculated formation energy (eV per atom): -0.31

***

[9]
HfPI: optimized geometry, PBE.

abc: 24.170 3.650 3.650
angles: 90.00 98.54 90.00
Space group Cm (No. 8)
Asymmetric unit:
Hf 0.000 0.000 0.000 x2
Hf 0.143 0.500 0.640 x2
P 0.031 0.500 0.531 x2
P 0.112 0.000 0.109 x2
I 0.240 0.000 0.737 x2
I 0.403 0.500 0.406 x2

Raw formation energy (meV/atom): -884

***

[10]
Pm2ZrAl3Pt4: optimized geometry, PBE.

abc: 4.331 4.331 10.689
angles: 90.00 90.00 90.00
Space group P-4m2 (No. 115)
Asymmetric unit:
Pm 0.000 0.500 0.235 x2
Zr 0.000 0.000 0.500 x1
Al 0.000 0.500 0.880 x2
Al 0.500 0.500 0.500 x1
Pt 0.000 0.000 0.000 x1
Pt 0.000 0.500 0.647 x2
Pt 0.500 0.500 0.000 x1

Calculated formation energy (eV per atom): -1.07

***

[11]
BaY3Ge: optimized geometry, PBE.

abc: 5.672 5.672 5.672
angles: 90.00 90.00 90.00
Space group Pm-3m (No. 221)
Asymmetric unit:
Ba 0.000 0.000 0.000 x1
Y 0.000 0.500 0.500 x3
Ge 0.500 0.500 0.500 x1

Calculated formation energy (eV per atom): -0.11

***

[12]
LiHoErNi: optimized geometry, PBE.

abc: 6.909 6.909 6.909
angles: 90.00 90.00 90.00
Space group F-43m (No. 216)
Asymmetric unit:
Li 0.000 0.000 0.000 x4
Ho 0.250 0.250 0.750 x4
Er 0.250 0.250 0.250 x4
Ni 0.000 0.000 0.500 x4

Calculated formation energy (eV per atom): -0.16

***

Looking at calculated volume for the records above, in order, we have 21.10, 16.22, 22.53, 28.70, 23.94, 39.61, 23.33, 26.14, 26.53, 20.05, 36.49, 20.62 A^3/atom.